i | ## RbZrGa2 (PBE-GGA)

Data for a geometry-optimized RbZrGa2 structure.

The structure in extended XYZ format:
```
4
Lattice="0.000 3.693 3.693 3.693 0.000 3.693 3.693 3.693 0.000" Properties=species:S:1:pos:R:3 pbc="T T T"
Zr 3.693 3.693 3.693
Ga 1.846 1.846 1.846
Ga 5.539 5.539 5.539
Rb 0.000 0.000 0.000
```

## Properties
magnetic moment: 0.84 μB/cell



ii | ## RbZrGa2 (PBE-GGA)

Data for a geometry-optimized RbZrGa2 structure.

The structure in extended XYZ format:
```
8
Lattice="-0.639 -5.063 2.346 -2.324 -1.905 -4.745 7.019 -6.015 -4.347" Properties=species:S:1:pos:R:3 pbc="T T T"
Ga -0.278 -7.290 -1.923
Ga 4.491 -9.117 -1.646
Ga 4.658 -6.710 -3.129
Ga 0.926 -6.006 0.296
Rb 1.607 -5.702 -5.146
Rb -1.481 -3.484 -1.199
Zr 0.000 0.000 0.000
Zr 2.449 -7.281 -1.601
```

## Properties
magnetic moment: 1.02 μB/cell



Short version: i is the most stable of them.